Record 1
Entry from Alexandria: a geometry-optimized Y2Ge2O7 structure (PBEsol).

Calculated values
N(E_F) (states/eV/f.u.): 0.000
Spin magnetization (μB per formula unit): 0.00
Formation energy without anion corrections (eV per atom): -2.657
Electronic total energy (eV/atom): -8.14
Crystal system: tetragonal

Geometry as POSCAR:
```
Y2Ge2O7
1.0
6.7952 0.0000 0.0000
0.0000 6.7952 0.0000
0.0000 0.0000 12.3602
Y Ge O
8 8 28
Direct
0.1255 0.3530 0.3853 Y
0.1470 0.6255 0.1353 Y
0.3530 0.1255 0.6147 Y
0.3745 0.8530 0.3647 Y
0.6255 0.1470 0.8647 Y
0.6470 0.8745 0.1147 Y
0.8530 0.3745 0.6353 Y
0.8745 0.6470 0.8853 Y
0.1001 0.1523 0.8690 Ge
0.1523 0.1001 0.1310 Ge
0.3477 0.6001 0.6190 Ge
0.3999 0.6523 0.8810 Ge
0.6001 0.3477 0.3810 Ge
0.6523 0.3999 0.1190 Ge
0.8477 0.8999 0.6310 Ge
0.8999 0.8477 0.3690 Ge
0.0325 0.0781 0.6276 O
0.0654 0.6618 0.3213 O
0.0781 0.0325 0.3724 O
0.1446 0.3178 0.2056 O
0.1618 0.4346 0.5713 O
0.1822 0.6446 0.9556 O
0.1978 0.1978 0.0000 O
0.3022 0.6978 0.7500 O
0.3178 0.1446 0.7944 O
0.3382 0.9346 0.1787 O
0.3554 0.8178 0.5444 O
0.4219 0.5325 0.3776 O
0.4346 0.1618 0.4287 O
0.4675 0.5781 0.1224 O
0.5325 0.4219 0.6224 O
0.5654 0.8382 0.9287 O
0.5781 0.4675 0.8776 O
0.6446 0.1822 0.0444 O
0.6618 0.0654 0.6787 O
0.6822 0.8554 0.2944 O
0.6978 0.3022 0.2500 O
0.8022 0.8022 0.5000 O
0.8178 0.3554 0.4556 O
0.8382 0.5654 0.0713 O
0.8554 0.6822 0.7056 O
0.9219 0.9675 0.8724 O
0.9346 0.3382 0.8213 O
0.9675 0.9219 0.1276 O
```

---

Record 2
Entry from Alexandria: a geometry-optimized ZnGe2O structure (PBEsol).

Calculated values
N(E_F) (states/eV/f.u.): 2.623
Spin magnetization (μB per formula unit): 0.00
Formation energy without anion corrections (eV per atom): 0.221
Electronic total energy (eV/atom): -3.96
Crystal system: cubic

Geometry as POSCAR:
```
ZnGe2O
1.0
6.0942 0.0000 0.0000
0.0000 6.0942 0.0000
0.0000 0.0000 6.0942
Zn Ge O
4 8 4
Direct
0.0000 0.0000 0.0000 Zn
0.0000 0.5000 0.5000 Zn
0.5000 0.0000 0.5000 Zn
0.5000 0.5000 0.0000 Zn
0.2500 0.2500 0.2500 Ge
0.2500 0.2500 0.7500 Ge
0.2500 0.7500 0.2500 Ge
0.2500 0.7500 0.7500 Ge
0.7500 0.2500 0.2500 Ge
0.7500 0.2500 0.7500 Ge
0.7500 0.7500 0.2500 Ge
0.7500 0.7500 0.7500 Ge
0.0000 0.0000 0.5000 O
0.0000 0.5000 0.0000 O
0.5000 0.0000 0.0000 O
0.5000 0.5000 0.5000 O
```

---

Record 3
Entry from Alexandria: a geometry-optimized Ge2Os structure (PBEsol).

Calculated values
N(E_F) (states/eV/f.u.): 0.405
Spin magnetization (μB per formula unit): 0.00
Electronic total energy (eV/atom): -7.51
Crystal system: monoclinic

Geometry as POSCAR:
```
Ge2Os
1.0
8.9958 0.0000 0.0000
0.0000 3.0887 0.0000
-3.7372 0.0000 6.6954
Ge Os
8 4
Direct
0.1014 0.0000 0.3881 Ge
0.1434 0.5000 0.0317 Ge
0.3566 0.0000 0.9683 Ge
0.3986 0.5000 0.6119 Ge
0.6014 0.5000 0.3881 Ge
0.6434 0.0000 0.0317 Ge
0.8566 0.5000 0.9683 Ge
0.8986 0.0000 0.6119 Ge
0.1538 0.5000 0.7003 Os
0.3462 0.0000 0.2997 Os
0.6538 0.0000 0.7003 Os
0.8462 0.5000 0.2997 Os
```